# 1
The following is a PBE-GGA calculation of crystalline Mg2ReTc at its relaxed geometry, from Alexandria via LeMat-Bulk.

Unit cell a=2.778 b=2.778 c=9.463 alpha=90.00 beta=90.00 gamma=112.92
Fractional positions:
1 Mg 0.000 0.000 0.000
2 Mg 0.500 0.500 0.285
3 Re 0.000 0.000 0.534
4 Tc 0.500 0.500 0.754

Properties
M_tot (μB per formula unit): 0.00
ρ (g/cm³): 8.2
Raw total energy (eV per formula unit): -25.1
Formation energy (eV per atom): 0.23
Calculated volume (Å³/atom): 16.8

# 2
The following is a PBE-GGA calculation of crystalline PuCdCuHg at its relaxed geometry, from Alexandria via LeMat-Bulk.

Unit cell a=4.999 b=4.999 c=4.999 alpha=60.00 beta=60.00 gamma=60.00
Fractional positions:
1 Pu 0.000 0.000 0.000
2 Cd 0.500 0.500 0.500
3 Cu 0.250 0.250 0.250
4 Hg 0.750 0.750 0.750

Properties
M_tot (μB per formula unit): 5.63
ρ (g/cm³): 11.7
Raw total energy (eV per formula unit): -19.5
Formation energy (eV per atom): 0.03
Calculated volume (Å³/atom): 22.1